No. 1
The following is a SCAN calculation of a crystal of RbAs2IBr relaxed with PBEsol, from the Alexandria database.

Cell: 6.745 6.745 5.953 Å, 90.00 90.00 90.00°
Space group P4/mmm (No. 123)
Symmetry-distinct sites (fractional):
Rb 0.000 0.000 0.000 [1 per cell]
As 0.000 0.500 0.000 [2 per cell]
I 0.500 0.500 0.500 [1 per cell]
Br 0.000 0.000 0.500 [1 per cell]

Energy = -22.638 eV per atom
Formation energy from raw total energies = 0.83 eV/atom
Density = 2711 kg/m3


No. 2
The following is a SCAN calculation of a crystal of AsRhIBr2 relaxed with PBEsol, from the Alexandria database.

Cell: 5.564 5.564 5.388 Å, 90.00 90.00 90.00°
Space group P4/mmm (No. 123)
Symmetry-distinct sites (fractional):
As 0.000 0.000 0.000 [1 per cell]
Rh 0.500 0.500 0.000 [1 per cell]
I 0.000 0.000 0.500 [1 per cell]
Br 0.000 0.500 0.500 [2 per cell]

Energy = -24.574 eV per atom
Formation energy from raw total energies = 1.35 eV/atom
Density = 4624 kg/m3


No. 3
The following is a SCAN calculation of a crystal of AsRuIBr2 relaxed with PBEsol, from the Alexandria database.

Cell: 5.556 5.556 5.398 Å, 90.00 90.00 90.00°
Space group P4/mmm (No. 123)
Symmetry-distinct sites (fractional):
As 0.000 0.000 0.000 [1 per cell]
Ru 0.500 0.500 0.000 [1 per cell]
I 0.000 0.000 0.500 [1 per cell]
Br 0.000 0.500 0.500 [2 per cell]

Energy = -24.672 eV per atom
Formation energy from raw total energies = 1.46 eV/atom
Density = 4612 kg/m3